(1)
This record from the Open Quantum Materials Database describes an optimized crystal structure of TlCuAgW. The functional is PBE-GGA.

DFT total energy (eV/atom): -4.510
SG: F-43m, No. 216
Offset from the most stable computed form (eV per formula unit): 0.000
M_tot (Bohr magnetons per cell): 1.92

```
4
Lattice="0.000 3.281 3.281 3.281 0.000 3.281 3.281 3.281 0.000" Properties=species:S:1:pos:R:3 pbc="T T T"
Tl 0.000 0.000 0.000
Cu 1.641 1.641 1.641
Ag 3.281 3.281 3.281
W 4.922 4.922 4.922
```

***

(2)
This record from the Open Quantum Materials Database describes an optimized crystal structure of HoBiMo. The functional is PBE-GGA.

DFT total energy (eV/atom): -6.016
SG: F-43m, No. 216
Offset from the most stable computed form (eV per formula unit): 0.000
M_tot (Bohr magnetons per cell): 0.20

```
3
Lattice="0.000 3.386 3.386 3.386 0.000 3.386 3.386 3.386 0.000" Properties=species:S:1:pos:R:3 pbc="T T T"
Ho 0.000 0.000 0.000
Bi 3.386 3.386 3.386
Mo 5.079 5.079 5.079
```

***

(3)
This record from the Open Quantum Materials Database describes an optimized crystal structure of GdMgGaPd. The functional is PBE-GGA.

DFT total energy (eV/atom): -3.776
SG: Cmm2, No. 35
M_tot (Bohr magnetons per cell): 0.01

```
8
Lattice="2.599 -8.570 0.000 2.599 8.570 0.000 0.000 0.000 5.079" Properties=species:S:1:pos:R:3 pbc="T T T"
Gd 2.599 6.392 0.000
Gd 2.599 -6.392 0.000
Mg 2.599 3.397 2.807
Mg 2.599 -3.397 2.807
Ga 2.599 1.159 1.033
Ga 2.599 -1.159 1.033
Pd 2.599 3.566 0.248
Pd 2.599 -3.566 0.248
```

***

(4)
This record from the Open Quantum Materials Database describes an optimized crystal structure of TaZnHg2. The functional is PBE-GGA.

DFT total energy (eV/atom): -2.773
Formation enthalpy at 0 K (eV/atom): 0.655
SG: F-43m, No. 216
M_tot (Bohr magnetons per cell): 0.99

```
4
Lattice="0.000 3.377 3.377 3.377 0.000 3.377 3.377 3.377 0.000" Properties=species:S:1:pos:R:3 pbc="T T T"
Ta 0.000 0.000 0.000
Zn 5.066 5.066 5.066
Hg 1.689 1.689 1.689
Hg 3.377 3.377 3.377
```

***

(5)
This record from the Open Quantum Materials Database describes an optimized crystal structure of YPuSe2. The functional is PBE-GGA.

DFT total energy (eV/atom): -8.619
SG: R-3m, No. 166
M_tot (Bohr magnetons per cell): 5.88

```
4
Lattice="2.046 1.181 6.785 -2.046 1.181 6.785 0.000 -2.362 6.785" Properties=species:S:1:pos:R:3 pbc="T T T"
Y 0.000 0.000 0.000
Pu 0.000 0.000 10.177
Se 0.000 0.000 5.120
Se 0.000 0.000 15.235
```

***

(6)
This record from the Open Quantum Materials Database describes an optimized crystal structure of CuBiPdW. The functional is PBE-GGA.

DFT total energy (eV/atom): -5.868
SG: F-43m, No. 216
Offset from the most stable computed form (eV per formula unit): 0.000
M_tot (Bohr magnetons per cell): 1.18

```
4
Lattice="0.000 3.282 3.282 3.282 0.000 3.282 3.282 3.282 0.000" Properties=species:S:1:pos:R:3 pbc="T T T"
Cu 0.000 0.000 0.000
Bi 4.923 4.923 4.923
Pd 1.641 1.641 1.641
W 3.282 3.282 3.282
```

***

Look up the DFT total energy of the fourth one.
-2.773 eV/atom

***

Copy entry 1 word for word.
This record from the Open Quantum Materials Database describes an optimized crystal structure of TlCuAgW. The functional is PBE-GGA.

DFT total energy (eV/atom): -4.510
SG: F-43m, No. 216
Offset from the most stable computed form (eV per formula unit): 0.000
M_tot (Bohr magnetons per cell): 1.92

```
4
Lattice="0.000 3.281 3.281 3.281 0.000 3.281 3.281 3.281 0.000" Properties=species:S:1:pos:R:3 pbc="T T T"
Tl 0.000 0.000 0.000
Cu 1.641 1.641 1.641
Ag 3.281 3.281 3.281
W 4.922 4.922 4.922
```

***

Which formula does entry 3 have?
GdMgGaPd